No. 1
The following is a DFT calculation (PBEsol) of LaSc3Rh after structural relaxation.

Properties
As for the formation energy from the elements: -27 kJ/mol of atoms. As for the total moment: 0.00 μB/f.u.

Lattice parameters (Å, degrees): 5.038 5.038 5.038 90.00 90.00 90.00
Space group Pm-3m (No. 221)
Asymmetric unit:
La  0.000  0.000  0.000 (multiplicity 1)
Sc  0.000  0.500  0.500 (multiplicity 3)
Rh  0.500  0.500  0.500 (multiplicity 1)

---

No. 2
The following is a DFT calculation (PBEsol) of La2ScRh after structural relaxation.

Properties
As for the formation energy from the elements: -9 kJ/mol of atoms. As for the total moment: 0.01 μB/f.u.

Lattice parameters (Å, degrees): 7.142 7.142 7.142 90.00 90.00 90.00
Space group F-43m (No. 216)
Asymmetric unit:
La  0.000  0.000  0.000 (multiplicity 4)
La  0.250  0.250  0.250 (multiplicity 4)
Sc  0.250  0.250  0.750 (multiplicity 4)
Rh  0.000  0.000  0.500 (multiplicity 4)

---

No. 3
The following is a DFT calculation (PBEsol) of La2RhSe after structural relaxation.

Properties
As for the energy relative to the elements, uncorrected: -1.259 eV/atom. As for the total moment: 0.00 μB/f.u.

Lattice parameters (Å, degrees): 4.1171 4.1171 21.7053 90.00 90.00 120.00
Space group R-3m (No. 166, hexagonal axes)
Asymmetric unit:
La  0.0000  0.0000  0.2424 (multiplicity 6)
Rh  0.0000  0.0000  0.5000 (multiplicity 3)
Se  0.0000  0.0000  0.0000 (multiplicity 3)